[1]
Computed, not measured: a relaxed Pm3Pr4Ho3 crystal at the PBE-GGA level of DFT.

Output
total magnetization: 0.0003 μB per atom
E_tot: -4.611 eV per atom
space-group type: No. 38
theoretical density: 7.165 g/cm3

Lattice parameters (Å, degrees): 3.8642 9.4640 9.4640 90.26 90.00 90.00
Last column: nearest neighbours and their distance in Å.
Element x y z (fractional)
Pm1 0.0000 0.0000 0.0000  6 Pr 3.33-3.46
Pm2 0.5000 0.3355 0.8294  4 Pr 3.66-3.75, 4 Pm 3.86-4.06, 6 Ho 3.98-4.02
Pm3 0.5000 0.8294 0.3355  4 Pr 3.66-3.75, 4 Pm 3.86-4.06, 6 Ho 3.98-4.02
Pr1 0.5000 0.2027 0.2027  2 Pm 3.33, 4 Ho 3.44, 1 Pr 3.46
Pr2 0.5000 0.4616 0.4616  6 Ho 3.31-3.44, 1 Pr 3.46, 2 Pm 3.69
Pr3 0.5000 0.6994 0.9617  4 Ho 3.31-3.44, 3 Pm 3.46-3.66, 1 Pr 3.52
Pr4 0.5000 0.9617 0.6994  4 Ho 3.31-3.44, 3 Pm 3.46-3.66, 1 Pr 3.52
Ho1 0.0000 0.1639 0.5008  6 Pr 3.31-3.44
Ho2 0.0000 0.5008 0.1639  6 Pr 3.31-3.44
Ho3 0.0000 0.6628 0.6628  6 Pr 3.31-3.44

[2]
Computed, not measured: a relaxed AsH crystal at the PBE-GGA level of DFT.

Output
total magnetization: 0.0000 μB per atom
E_tot: -3.917 eV per atom
space-group type: No. 31
theoretical density: 3.652 g/cm3
ΔE to the lowest computed polymorph: 27.9 meV per atom

Lattice parameters (Å, degrees): 8.0533 4.7176 5.4522 90.00 90.00 90.00
Last column: nearest neighbours and their distance in Å.
Element x y z (fractional)
As1 0.0000 0.1453 0.0000  1 H 1.55
As2 0.2357 0.4868 0.9790  1 H 1.55
As3 0.2643 0.5132 0.4790  1 H 1.55
As4 0.5000 0.8547 0.5000  1 H 1.55
As5 0.7357 0.5132 0.4790  1 H 1.55
As6 0.7643 0.4868 0.9790  1 H 1.55
H1 0.0000 0.0984 0.7186  1 As 1.55
H2 0.1426 0.7664 0.4779  1 As 1.55
H3 0.3574 0.2336 0.9779  1 As 1.55
H4 0.5000 0.9016 0.2186  1 As 1.55
H5 0.6426 0.2336 0.9779  1 As 1.55
H6 0.8574 0.7664 0.4779  1 As 1.55

[3]
Computed, not measured: a relaxed Cs2BPbCl6 crystal at the PBE-GGA level of DFT.

Output
total magnetization: 0.0000 μB per atom
E_tot: -3.324 eV per atom
space-group type: No. 139
raw formation energy: -1006 meV per atom
theoretical density: 3.614 g/cm3

Lattice parameters (Å, degrees): 7.5397 7.5397 7.5397 115.59 115.59 97.83
Last column: nearest neighbours and their distance in Å.
Element x y z (fractional)
Cs1 0.2500 0.7500 0.5000  12 Cl 3.77-4.08
Cs2 0.7500 0.2500 0.5000  12 Cl 3.77-4.08
B1 0.0000 0.0000 0.0000  2 Cl 1.79
Pb1 0.5000 0.5000 0.0000  6 Cl 2.87-3.16
Cl1 0.1806 0.1806 0.0000  1 B 1.79
Cl2 0.2473 0.2473 0.4947  1 B 2.81, 1 Pb 2.87
Cl3 0.2473 0.7527 0.0000  1 B 2.81, 1 Pb 2.87
Cl4 0.7527 0.2473 0.0000  1 B 2.81, 1 Pb 2.87
Cl5 0.7527 0.7527 0.5053  1 B 2.81, 1 Pb 2.87
Cl6 0.8194 0.8194 0.0000  1 B 1.79

[4]
Computed, not measured: a relaxed CuTeCl6 crystal at the PBE-GGA level of DFT.

Output
total magnetization: 0.0000 μB per atom
E_tot: -2.744 eV per atom
space-group type: No. 148
raw formation energy: -454 meV per atom
theoretical density: 3.239 g/cm3
ΔE to the lowest computed polymorph: 73.3 meV per atom

Lattice parameters (Å, degrees): 6.8257 6.8257 6.8257 56.58 56.58 56.58
Last column: nearest neighbours and their distance in Å.
Element x y z (fractional)
Cu1 0.0000 0.0000 0.0000  6 Cl 2.45
Te1 0.5000 0.5000 0.5000  6 Cl 2.55
Cl1 0.1146 0.7543 0.3746  1 Cu 2.45, 1 Te 2.55
Cl2 0.2457 0.6254 0.8854  1 Cu 2.45, 1 Te 2.55
Cl3 0.3746 0.1146 0.7543  1 Cu 2.45, 1 Te 2.55
Cl4 0.6254 0.8854 0.2457  1 Cu 2.45, 1 Te 2.55
Cl5 0.7543 0.3746 0.1146  1 Cu 2.45, 1 Te 2.55
Cl6 0.8854 0.2457 0.6254  1 Cu 2.45, 1 Te 2.55

[5]
Computed, not measured: a relaxed Y3Hf3TaN8 crystal at the PBE-GGA level of DFT.

Output
total magnetization: 0.0000 μB per atom
E_tot: -10.137 eV per atom
space-group type: No. 166
raw formation energy: -1623 meV per atom
theoretical density: 9.017 g/cm3

Lattice parameters (Å, degrees): 6.6783 6.6783 6.6783 58.15 58.15 58.15
Last column: nearest neighbours and their distance in Å.
Element x y z (fractional)
Y1 0.0000 0.5000 0.5000  6 N 2.41-2.43
Y2 0.5000 0.0000 0.5000  6 N 2.41-2.43
Y3 0.5000 0.5000 0.0000  6 N 2.41-2.43
Hf1 0.0000 0.0000 0.5000  6 N 2.25
Hf2 0.0000 0.5000 0.0000  6 N 2.25
Hf3 0.5000 0.0000 0.0000  6 N 2.25
Ta1 0.5000 0.5000 0.5000  6 N 2.14
N1 0.2419 0.2419 0.2419  3 Hf 2.25, 3 Y 2.41
N2 0.2520 0.7301 0.7301  1 Ta 2.14, 2 Hf 2.25
N3 0.2699 0.2699 0.7480  1 Ta 2.14, 2 Hf 2.25
N4 0.2699 0.7480 0.2699  1 Ta 2.14, 2 Hf 2.25
N5 0.7301 0.2520 0.7301  1 Ta 2.14, 2 Hf 2.25
N6 0.7301 0.7301 0.2520  1 Ta 2.14, 2 Hf 2.25
N7 0.7480 0.2699 0.2699  1 Ta 2.14, 2 Hf 2.25
N8 0.7581 0.7581 0.7581  3 Hf 2.25, 3 Y 2.41

[6]
Computed, not measured: a relaxed KMgBr2 crystal at the PBE-GGA level of DFT.

Output
total magnetization: 0.1425 μB per atom
E_tot: -2.570 eV per atom
space-group type: No. 166
raw formation energy: -1061 meV per atom
theoretical density: 2.732 g/cm3
ΔE to the lowest computed polymorph: 85.4 meV per atom

Lattice parameters (Å, degrees): 4.6465 4.6465 21.7693 90.00 90.00 120.00
Last column: nearest neighbours and their distance in Å.
Element x y z (fractional)
K1 0.0000 0.0000 0.0000  6 Br 3.37
K2 0.3333 0.6667 0.6667  6 Br 3.37
K3 0.6667 0.3333 0.3333  6 Br 3.37
Mg1 0.0000 0.0000 0.5000  6 Br 3.12
Mg2 0.3333 0.6667 0.1667  6 Br 3.12
Mg3 0.6667 0.3333 0.8333  6 Br 3.12
Br1 0.0000 0.0000 0.2397  3 Mg 3.12, 3 K 3.37
Br2 0.0000 0.0000 0.7603  3 Mg 3.12, 3 K 3.37
Br3 0.3333 0.6667 0.4269  3 Mg 3.12, 3 K 3.37
Br4 0.3333 0.6667 0.9064  3 Mg 3.12, 3 K 3.37
Br5 0.6667 0.3333 0.0936  3 Mg 3.12, 3 K 3.37
Br6 0.6667 0.3333 0.5731  3 Mg 3.12, 3 K 3.37

[7]
Computed, not measured: a relaxed K2LaAu crystal at the PBE-GGA level of DFT.

Output
total magnetization: 0.1218 μB per atom
E_tot: -2.337 eV per atom
space-group type: No. 65
theoretical density: 4.490 g/cm3
ΔE to the lowest computed polymorph: 479.6 meV per atom

Lattice parameters (Å, degrees): 6.4239 12.3705 3.8541 90.00 90.00 90.00
Last column: nearest neighbours and their distance in Å.
Element x y z (fractional)
K1 0.2500 0.2500 0.0000  2 K 3.21
K2 0.2500 0.7500 0.0000  2 K 3.21
K3 0.7500 0.2500 0.0000  2 K 3.21
K4 0.7500 0.7500 0.0000  2 K 3.21
La1 0.0000 0.0000 0.5000  2 Au 3.21
La2 0.5000 0.5000 0.5000  2 Au 3.21
Au1 0.0000 0.5000 0.5000  2 La 3.21
Au2 0.5000 0.0000 0.5000  2 La 3.21

[8]
Computed, not measured: a relaxed Nd3Sm2Bi3 crystal at the PBE-GGA level of DFT.

Output
total magnetization: 0.0697 μB per atom
E_tot: -5.194 eV per atom
space-group type: No. 193
theoretical density: 8.865 g/cm3

Lattice parameters (Å, degrees): 9.4625 9.4625 6.5726 90.00 90.00 120.00
Last column: nearest neighbours and their distance in Å.
Element x y z (fractional)
Nd1 0.0000 0.2464 0.2500  5 Bi 3.23-3.56
Nd2 0.0000 0.7536 0.7500  5 Bi 3.23-3.56
Nd3 0.2464 0.0000 0.2500  5 Bi 3.23-3.56
Nd4 0.2464 0.2464 0.7500  5 Bi 3.23-3.56
Nd5 0.7536 0.0000 0.7500  5 Bi 3.23-3.56
Nd6 0.7536 0.7536 0.2500  5 Bi 3.23-3.56
Sm1 0.3333 0.6667 0.0000  2 Sm 3.29, 6 Bi 3.35
Sm2 0.3333 0.6667 0.5000  2 Sm 3.29, 6 Bi 3.35
Sm3 0.6667 0.3333 0.0000  2 Sm 3.29, 6 Bi 3.35
Sm4 0.6667 0.3333 0.5000  2 Sm 3.29, 6 Bi 3.35
Bi1 0.0000 0.3898 0.7500  5 Nd 3.23-3.56, 4 Sm 3.35
Bi2 0.0000 0.6102 0.2500  5 Nd 3.23-3.56, 4 Sm 3.35
Bi3 0.3898 0.0000 0.7500  5 Nd 3.23-3.56, 4 Sm 3.35
Bi4 0.3898 0.3898 0.2500  5 Nd 3.23-3.56, 4 Sm 3.35
Bi5 0.6102 0.0000 0.2500  5 Nd 3.23-3.56, 4 Sm 3.35
Bi6 0.6102 0.6102 0.7500  5 Nd 3.23-3.56, 4 Sm 3.35